(1)
Co3HI: single point on PBEsol structure, meta-GGA SCAN.

Calculated total energy (eV per cell): -88.79
Space group: Pm-3m (221)
Volume (Å³ per atom): 10.51

Lattice parameters (Å, degrees): 3.746 3.746 3.746 90.00 90.00 90.00
Atoms (fractional coordinates):
Co1 0.000 0.000 0.500
Co2 0.000 0.500 0.000
Co3 0.500 0.000 0.000
H1 0.000 0.000 0.000
I1 0.500 0.500 0.500


(2)
CoH8I2O10: single point on PBEsol structure, meta-GGA SCAN.

Calculated total energy (eV per cell): -397.38
Space group: P2_1/c (14)
Volume (Å³ per atom): 10.01

Lattice parameters (Å, degrees): 8.303 6.224 8.232 90.00 98.73 90.00
Atoms (fractional coordinates):
Co1 0.000 0.000 0.000
Co2 0.000 0.500 0.500
H1 0.012 0.122 0.313
H2 0.012 0.378 0.813
H3 0.162 0.507 0.260
H4 0.162 0.993 0.760
H5 0.273 0.605 0.730
H6 0.273 0.895 0.230
H7 0.282 0.716 0.551
H8 0.282 0.784 0.051
H9 0.718 0.216 0.949
H10 0.718 0.284 0.449
H11 0.727 0.105 0.770
H12 0.727 0.395 0.270
H13 0.838 0.007 0.240
H14 0.838 0.493 0.740
H15 0.988 0.622 0.187
H16 0.988 0.878 0.687
I1 0.339 0.189 0.529
I2 0.339 0.311 0.029
I3 0.661 0.689 0.971
I4 0.661 0.811 0.471
O1 0.066 0.586 0.291
O2 0.066 0.914 0.791
O3 0.115 0.212 0.476
O4 0.115 0.288 0.976
O5 0.245 0.585 0.607
O6 0.245 0.915 0.107
O7 0.343 0.113 0.745
O8 0.343 0.387 0.245
O9 0.346 0.585 0.939
O10 0.346 0.915 0.439
O11 0.654 0.085 0.561
O12 0.654 0.415 0.061
O13 0.657 0.613 0.755
O14 0.657 0.887 0.255
O15 0.755 0.085 0.893
O16 0.755 0.415 0.393
O17 0.885 0.712 0.024
O18 0.885 0.788 0.524
O19 0.934 0.086 0.209
O20 0.934 0.414 0.709


(3)
CoSb2HI: single point on PBEsol structure, meta-GGA SCAN.

Calculated total energy (eV per cell): -128.14
Space group: P4/mmm (123)
Volume (Å³ per atom): 24.88

Lattice parameters (Å, degrees): 4.752 4.752 5.509 90.00 90.00 90.00
Atoms (fractional coordinates):
Co1 0.000 0.000 0.000
Sb1 0.000 0.500 0.000
Sb2 0.500 0.000 0.000
H1 0.500 0.500 0.500
I1 0.000 0.000 0.500


(4)
InCo2H2: single point on PBEsol structure, meta-GGA SCAN.

Calculated total energy (eV per cell): -74.07
Space group: I4/mmm (139)
Volume (Å³ per atom): 8.78

Lattice parameters (Å, degrees): 5.174 5.174 5.174 145.64 145.64 49.38
Atoms (fractional coordinates):
In1 0.000 0.000 0.000
Co1 0.334 0.334 0.000
Co2 0.666 0.666 0.000
H1 0.250 0.750 0.500
H2 0.750 0.250 0.500


(5)
TlInCoH2: single point on PBEsol structure, meta-GGA SCAN.

Calculated total energy (eV per cell): -126.56
Space group: P4/mmm (123)
Volume (Å³ per atom): 15.29

Lattice parameters (Å, degrees): 3.904 3.904 5.015 90.00 90.00 90.00
Atoms (fractional coordinates):
Tl1 0.000 0.000 0.000
In1 0.500 0.500 0.000
Co1 0.000 0.000 0.500
H1 0.000 0.500 0.500
H2 0.500 0.000 0.500


(6)
Co2H2Ir: single point on PBEsol structure, meta-GGA SCAN.

Calculated total energy (eV per cell): -111.94
Space group: I4/mmm (139)
Volume (Å³ per atom): 7.88

Lattice parameters (Å, degrees): 5.912 5.912 5.912 154.10 154.10 36.96
Atoms (fractional coordinates):
Co1 0.156 0.156 0.000
Co2 0.844 0.844 0.000
H1 0.250 0.750 0.500
H2 0.750 0.250 0.500
Ir1 0.500 0.500 0.000


(7)
Co3HIr: single point on PBEsol structure, meta-GGA SCAN.

Space group: Pm-3m (221)
Volume (Å³ per atom): 18.28
Distance to the lowest polymorph of the same formula (meV per atom): 1676

Lattice parameters (Å, degrees): 4.505 4.505 4.505 90.00 90.00 90.00
Atoms (fractional coordinates):
Co1 0.000 0.000 0.500
Co2 0.000 0.500 0.000
Co3 0.500 0.000 0.000
H1 0.500 0.500 0.500
Ir1 0.000 0.000 0.000


(8)
Co3HIr: single point on PBEsol structure, meta-GGA SCAN.

Space group: Pm-3m (221)
Volume (Å³ per atom): 9.31
Distance to the lowest polymorph of the same formula (meV per atom): 0

Lattice parameters (Å, degrees): 3.597 3.597 3.597 90.00 90.00 90.00
Atoms (fractional coordinates):
Co1 0.000 0.000 0.500
Co2 0.000 0.500 0.000
Co3 0.500 0.000 0.000
H1 0.000 0.000 0.000
Ir1 0.500 0.500 0.500